Compound: Ac3PmSn12
Source: the Alexandria database
Functional: PBE-GGA
Structure: relaxed

It has space group P4/mmm (No. 123), with a = 4.8912 Å, b = 4.8912 Å, c = 19.4161 Å, α = 90.00°, β = 90.00° and γ = 90.00°. The distinct sites, in fractional coordinates, are Ac at (0.0000, 0.0000, 0.0000), Ac at (0.0000, 0.0000, 0.2554), Pm at (0.0000, 0.0000, 0.5000), Sn at (0.0000, 0.5000, 0.1280), Sn at (0.0000, 0.5000, 0.3822), Sn at (0.5000, 0.5000, 0.0000), Sn at (0.5000, 0.5000, 0.2560) and Sn at (0.5000, 0.5000, 0.5000).

The final energy is -4.57 eV per atom.